[1]
{
  "formula": "La2Si4Pd3Au",
  "functional": "PBE-GGA",
  "state": "relaxed",
  "n_ef_per_ev_atom": 0.47,
  "volume_a3_per_atom": 18.8,
  "crystal_system": "tetragonal",
  "e_form_raw_ev_per_atom": -0.8571,
  "spacegroup": "No. 115",
  "lattice_angstrom": [[4.325, 0.000, 0.000], [0.000, 4.325, 0.000], [0.000, 0.000, 10.073]],
  "species": ["Si", "Si", "Pd", "Si", "Au", "Pd", "Pd", "La", "Si", "La"],
  "frac_coords": [[0.000, 0.000, 0.000], [0.500, 0.000, 0.637], [0.000, 0.500, 0.118], [0.500, 0.500, 0.000], [0.500, 0.500, 0.500], [0.000, 0.000, 0.500], [0.500, 0.000, 0.882], [0.500, 0.000, 0.244], [0.000, 0.500, 0.363], [0.000, 0.500, 0.756]]
}

[2]
{
  "formula": "In2FeAu",
  "functional": "PBE-GGA",
  "state": "relaxed",
  "n_ef_per_ev_atom": 0.87,
  "e_above_lowest_polymorph_mev_per_atom": 0,
  "volume_a3_per_atom": 19.7,
  "crystal_system": "orthorhombic",
  "formation_enthalpy_0k_ev_per_atom": 0.0903,
  "spacegroup": "No. 44",
  "lattice_angstrom": [[6.471, 0.030, -0.002], [4.176, 4.943, 0.002], [-4.858, -3.482, 2.479]],
  "species": ["Au", "In", "In", "Fe"],
  "frac_coords": [[0.444, 0.444, 0.000], [0.048, 0.048, 0.000], [0.760, 0.260, 0.500], [0.248, 0.748, 0.500]]
}

[3]
{
  "formula": "MnGeCSe",
  "functional": "PBE-GGA",
  "state": "relaxed",
  "n_ef_per_ev_atom": 0.23,
  "e_above_lowest_polymorph_mev_per_atom": 28,
  "volume_a3_per_atom": 16.6,
  "crystal_system": "triclinic",
  "e_form_raw_ev_per_atom": 0.3376,
  "spacegroup": "No. 1",
  "lattice_angstrom": [[3.078, 0.002, -0.112], [-1.536, 2.667, 0.112], [-1.550, -0.832, 8.118]],
  "species": ["C", "Ge", "Se", "Mn"],
  "frac_coords": [[0.393, 0.833, 0.937], [0.571, 0.893, 0.184], [0.497, 0.421, 0.619], [0.992, 0.143, 0.842]]
}

[4]
{
  "formula": "Ca3AgBi2",
  "functional": "PBE-GGA",
  "state": "relaxed",
  "n_ef_per_ev_atom": 0.35,
  "e_above_lowest_polymorph_mev_per_atom": 0,
  "volume_a3_per_atom": 31.0,
  "crystal_system": "orthorhombic",
  "formation_enthalpy_0k_ev_per_atom": -0.6665,
  "spacegroup": "No. 62",
  "lattice_angstrom": [[4.748, 0.000, 0.000], [0.000, 12.438, 0.000], [0.000, 0.000, 12.610]],
  "species": ["Ca", "Bi", "Bi", "Ca", "Ca", "Bi", "Bi", "Ca", "Ca", "Ca", "Bi", "Bi", "Ca", "Ca", "Ca", "Ca", "Ag", "Ca", "Bi", "Ag", "Ca", "Bi", "Ag", "Ag"],
  "frac_coords": [[0.250, 0.125, 0.553], [0.250, 0.685, 0.493], [0.750, 0.315, 0.507], [0.250, 0.444, 0.370], [0.750, 0.625, 0.947], [0.250, 0.503, 0.816], [0.750, 0.185, 0.007], [0.250, 0.795, 0.723], [0.250, 0.705, 0.223], [0.750, 0.295, 0.777], [0.250, 0.815, 0.993], [0.250, 0.997, 0.316], [0.750, 0.875, 0.447], [0.250, 0.375, 0.053], [0.250, 0.056, 0.870], [0.750, 0.205, 0.277], [0.250, 0.134, 0.132], [0.750, 0.944, 0.130], [0.750, 0.497, 0.184], [0.250, 0.366, 0.632], [0.750, 0.556, 0.630], [0.750, 0.003, 0.684], [0.750, 0.634, 0.368], [0.750, 0.866, 0.868]]
}

[5]
{
  "formula": "ZrSi3",
  "functional": "PBE-GGA",
  "state": "relaxed",
  "n_ef_per_ev_atom": 1.42,
  "volume_a3_per_atom": 17.1,
  "crystal_system": "cubic",
  "e_form_raw_ev_per_atom": 0.2808,
  "spacegroup": "No. 225",
  "lattice_angstrom": [[-0.968, -0.004, 4.483], [3.398, -0.049, 3.079], [0.853, 3.727, 2.533]],
  "species": ["Si", "Zr", "Si", "Si"],
  "frac_coords": [[0.500, 0.500, 0.500], [0.750, 0.750, 0.750], [0.000, 0.000, 0.000], [0.250, 0.250, 0.250]]
}

[6]
{
  "formula": "ErTmAlCd",
  "functional": "PBE-GGA",
  "state": "relaxed",
  "n_ef_per_ev_atom": 0.85,
  "e_above_lowest_polymorph_mev_per_atom": 17,
  "volume_a3_per_atom": 24.0,
  "crystal_system": "cubic",
  "formation_enthalpy_0k_ev_per_atom": -0.3432,
  "spacegroup": "No. 216",
  "lattice_angstrom": [[-2.477, 4.392, -1.009], [-4.032, 0.003, -3.192], [-4.740, 0.761, 1.845]],
  "species": ["Tm", "Al", "Er", "Cd"],
  "frac_coords": [[0.500, 0.500, 0.500], [0.750, 0.750, 0.750], [0.000, 0.000, 0.000], [0.250, 0.250, 0.250]]
}

[7]
{
  "formula": "TiHPt2Rh",
  "functional": "PBE-GGA",
  "state": "relaxed",
  "n_ef_per_ev_atom": 0.19,
  "e_above_lowest_polymorph_mev_per_atom": 0,
  "volume_a3_per_atom": 12.6,
  "crystal_system": "tetragonal",
  "spacegroup": "No. 123",
  "lattice_angstrom": [[-0.357, -3.343, -2.097], [3.579, 0.613, -1.587], [1.687, -2.065, 3.005]],
  "species": ["H", "Ti", "Pt", "Rh", "Pt"],
  "frac_coords": [[0.000, 0.000, 0.000], [0.500, 0.500, 0.500], [0.000, 0.500, 0.000], [0.000, 0.000, 0.500], [0.500, 0.000, 0.000]]
}

[8]
{
  "formula": "Li2PbW",
  "functional": "PBE-GGA",
  "state": "relaxed",
  "n_ef_per_ev_atom": 0.81,
  "volume_a3_per_atom": 17.0,
  "crystal_system": "tetragonal",
  "formation_enthalpy_0k_ev_per_atom": 0.5724,
  "spacegroup": "No. 123",
  "lattice_angstrom": [[4.177, 0.000, 0.000], [0.000, 4.040, 0.000], [0.000, 0.000, 4.040]],
  "species": ["Pb", "Li", "W", "Li"],
  "frac_coords": [[0.500, 0.500, 0.000], [0.000, 0.000, 0.000], [0.500, 0.000, 0.500], [0.000, 0.500, 0.500]]
}